Record 1
Entry from Alexandria: a relaxed RbNiGe crystal (PBE).

Unit cell a=4.363 b=4.360 c=10.473 alpha=87.76 beta=87.77 gamma=100.66
Fractional positions:
Ni 0.766 0.412 0.920
Ni 0.361 0.821 0.920
Rb 0.800 0.852 0.638
Rb 0.328 0.381 0.202
Ge 0.266 0.319 0.842
Ge 0.861 0.914 0.998

The calculation puts the volume at 32.569 A^3/atom. As for the space group: C2/m (12). Its formation energy is -0.1649 eV per atom. The calculation puts the energy above the most stable polymorph in this dataset at 0 meV/atom. The value obtained for the electronic total energy is -3.95 eV/atom.

Record 2
Entry from Alexandria: a relaxed RbNi2Ge crystal (PBE).

Unit cell a=5.063 b=5.063 c=8.508 alpha=72.69 beta=72.69 gamma=90.00
Fractional positions:
Ni 0.875 0.625 0.750
Ni 0.375 0.625 0.750
Ni 0.375 0.125 0.250
Ni 0.375 0.625 0.250
Ge 0.500 0.500 0.000
Ge 0.250 0.750 0.500
Rb 0.750 0.250 0.500
Rb 0.000 0.000 0.000

The calculation puts the volume at 24.727 A^3/atom. As for the space group: I4_1/amd (141). Its formation energy is 0.2774 eV per atom. The value obtained for the electronic total energy is -4.01 eV/atom.

Record 3
Entry from Alexandria: a relaxed RbNi2Ge2 crystal (PBE).

Unit cell a=3.971 b=3.971 c=7.596 alpha=74.85 beta=74.85 gamma=90.00
Fractional positions:
Ni 0.750 0.250 0.500
Ni 0.250 0.750 0.500
Ge 0.661 0.661 0.678
Ge 0.339 0.339 0.322
Rb 0.000 0.000 0.000

The calculation puts the volume at 22.262 A^3/atom. As for the space group: I4/mmm (139). Its formation energy is -0.1599 eV per atom. The calculation puts the energy above the most stable polymorph in this dataset at 0 meV/atom. The value obtained for the electronic total energy is -4.51 eV/atom.